Record 1
This record from Alexandria via LeMat-Bulk describes Li4SbP after structural relaxation. The functional is GGA-PBEsol.

Unit cell a=7.246 b=7.246 c=7.246 alpha=90.00 beta=90.00 gamma=90.00
Space group F-43m (No. 216)
Unique sites:
Li  0.125  0.125  0.125 [16 per cell]
Sb  0.000  0.000  0.500 [4 per cell]
P  0.250  0.250  0.750 [4 per cell]

Calculated values
Raw formation energy in eV/atom: -0.08

***

Record 2
This record from Alexandria via LeMat-Bulk describes Li2SbP after structural relaxation. The functional is GGA-PBEsol.

Unit cell a=2.963 b=2.963 c=8.012 alpha=90.00 beta=90.00 gamma=90.00
Space group P4/mmm (No. 123)
Unique sites:
Li  0.000  0.000  0.201 [2 per cell]
Sb  0.500  0.500  0.500 [1 per cell]
P  0.500  0.500  0.000 [1 per cell]

Calculated values
Offset from the most stable computed form in eV/atom: 0.002
Raw formation energy in eV/atom: -0.35

***

Record 3
This record from Alexandria via LeMat-Bulk describes Li2SbP after structural relaxation. The functional is GGA-PBEsol.

Unit cell a=3.048 b=3.932 c=5.684 alpha=90.00 beta=90.34 gamma=90.00
Space group P2/m (No. 10)
Unique sites:
Li  0.003  0.000  0.283 [2 per cell]
Sb  0.500  0.500  0.000 [1 per cell]
P  0.500  0.500  0.500 [1 per cell]

Calculated values
Offset from the most stable computed form in eV/atom: 0.000
Raw formation energy in eV/atom: -0.36

***

Record 4
This record from Alexandria via LeMat-Bulk describes Li2SbP after structural relaxation. The functional is GGA-PBEsol.

Unit cell a=3.050 b=3.050 c=7.686 alpha=90.00 beta=90.00 gamma=90.00
Space group P4mm (No. 99)
Unique sites:
Li  0.000  0.000  0.000 [1 per cell]
Li  0.500  0.500  0.211 [1 per cell]
Sb  0.500  0.500  0.748 [1 per cell]
P  0.000  0.000  0.360 [1 per cell]

Calculated values
Offset from the most stable computed form in eV/atom: 0.287
Raw formation energy in eV/atom: -0.07

***

Record 5
This record from Alexandria via LeMat-Bulk describes LiSbP after structural relaxation. The functional is GGA-PBEsol.

Unit cell a=3.274 b=3.274 c=10.647 alpha=90.00 beta=90.00 gamma=90.00
Space group I4mm (No. 107)
Unique sites:
Li  0.000  0.000  0.000 [2 per cell]
Sb  0.000  0.000  0.326 [2 per cell]
P  0.000  0.000  0.573 [2 per cell]

Calculated values
Raw formation energy in eV/atom: -0.01

***

Record 6
This record from Alexandria via LeMat-Bulk describes Li2ScP after structural relaxation. The functional is GGA-PBEsol.

Unit cell a=3.721 b=3.721 c=9.835 alpha=90.00 beta=90.00 gamma=90.00
Space group I4/mmm (No. 139)
Unique sites:
Li  0.000  0.500  0.250 [4 per cell]
Sc  0.000  0.000  0.000 [2 per cell]
P  0.000  0.000  0.500 [2 per cell]

Calculated values
ΔE_f in eV per atom: -0.471

***

Record 7
This record from Alexandria via LeMat-Bulk describes LiSc4P after structural relaxation. The functional is GGA-PBEsol.

Unit cell a=8.044 b=8.044 c=8.044 alpha=90.00 beta=90.00 gamma=90.00
Space group F-43m (No. 216)
Unique sites:
Li  0.000  0.000  0.000 [4 per cell]
Sc  0.124  0.124  0.624 [16 per cell]
P  0.250  0.250  0.250 [4 per cell]

Calculated values
ΔE_f in eV per atom: 0.380

***

Record 8
This record from Alexandria via LeMat-Bulk describes Li2ScP after structural relaxation. The functional is GGA-PBEsol.

Unit cell a=2.968 b=2.968 c=7.568 alpha=90.00 beta=90.00 gamma=90.00
Space group P4/mmm (No. 123)
Unique sites:
Li  0.000  0.000  0.184 [2 per cell]
Sc  0.500  0.500  0.500 [1 per cell]
P  0.500  0.500  0.000 [1 per cell]

Calculated values
ΔE_f in eV per atom: -0.094

***

Record 9
This record from Alexandria via LeMat-Bulk describes Li2ScP after structural relaxation. The functional is GGA-PBEsol.

Unit cell a=3.595 b=3.595 c=5.249 alpha=90.00 beta=90.00 gamma=90.00
Space group P4/mmm (No. 123)
Unique sites:
Li  0.000  0.000  0.204 [2 per cell]
Sc  0.500  0.500  0.500 [1 per cell]
P  0.500  0.500  0.000 [1 per cell]

Calculated values
ΔE_f in eV per atom: -0.296

***

Record 10
This record from Alexandria via LeMat-Bulk describes LiSc2P2 after structural relaxation. The functional is GGA-PBEsol.

Unit cell a=7.255 b=7.255 c=3.311 alpha=90.00 beta=90.00 gamma=90.00
Space group P4/mbm (No. 127)
Unique sites:
Li  0.000  0.000  0.000 [2 per cell]
Sc  0.141  0.359  0.000 [4 per cell]
P  0.164  0.664  0.500 [4 per cell]

Calculated values
ΔE_f in eV per atom: -0.851

***

Record 11
This record from Alexandria via LeMat-Bulk describes Li2ScSiP after structural relaxation. The functional is GGA-PBEsol.

Unit cell a=4.293 b=4.293 c=4.779 alpha=90.00 beta=90.00 gamma=90.00
Space group P4/mmm (No. 123)
Unique sites:
Li  0.000  0.500  0.000 [2 per cell]
Sc  0.000  0.000  0.500 [1 per cell]
Si  0.500  0.500  0.500 [1 per cell]
P  0.500  0.500  0.000 [1 per cell]

Calculated values
Raw formation energy in eV/atom: 0.00

***

Record 12
This record from Alexandria via LeMat-Bulk describes LiP2Se after structural relaxation. The functional is GGA-PBEsol.

Unit cell a=2.999 b=2.999 c=7.566 alpha=90.00 beta=90.00 gamma=90.00
Space group P4mm (No. 99)
Unique sites:
Li  0.000  0.000  0.000 [1 per cell]
P  0.000  0.000  0.399 [1 per cell]
P  0.500  0.500  0.271 [1 per cell]
Se  0.500  0.500  0.772 [1 per cell]

Calculated values
Raw formation energy in eV/atom: -0.13

***

Record 13
This record from Alexandria via LeMat-Bulk describes Li2PSe after structural relaxation. The functional is GGA-PBEsol.

Unit cell a=2.710 b=2.710 c=9.518 alpha=90.00 beta=90.00 gamma=90.00
Space group P4mm (No. 99)
Unique sites:
Li  0.000  0.000  0.000 [1 per cell]
Li  0.500  0.500  0.287 [1 per cell]
P  0.000  0.000  0.466 [1 per cell]
Se  0.500  0.500  0.814 [1 per cell]

Calculated values
Offset from the most stable computed form in eV/atom: 0.336
Raw formation energy in eV/atom: -0.19

***

Record 14
This record from Alexandria via LeMat-Bulk describes Li3PSe after structural relaxation. The functional is GGA-PBEsol.

Unit cell a=4.561 b=4.561 c=4.561 alpha=90.00 beta=90.00 gamma=90.00
Space group Pm-3m (No. 221)
Unique sites:
Li  0.000  0.000  0.500 [3 per cell]
P  0.000  0.000  0.000 [1 per cell]
Se  0.500  0.500  0.500 [1 per cell]

Calculated values
Raw formation energy in eV/atom: -0.27

***

Record 15
This record from Alexandria via LeMat-Bulk describes Li2PSe after structural relaxation. The functional is GGA-PBEsol.

Unit cell a=3.985 b=3.985 c=7.664 alpha=90.00 beta=90.00 gamma=90.00
Space group I4/mmm (No. 139)
Unique sites:
Li  0.000  0.500  0.250 [4 per cell]
P  0.000  0.000  0.000 [2 per cell]
Se  0.000  0.000  0.500 [2 per cell]

Calculated values
Offset from the most stable computed form in eV/atom: 0.000
Raw formation energy in eV/atom: -0.53

***

Record 16
This record from Alexandria via LeMat-Bulk describes Li10SiP2Se12 after structural relaxation. The functional is GGA-PBEsol.

Unit cell a=9.118 b=9.118 c=12.981 alpha=90.00 beta=90.00 gamma=90.00
Space group P4_2mc (No. 105)
Unique sites:
Li  0.000  0.000  0.000 [2 per cell]
Li  0.227  0.264  0.244 [8 per cell]
Li  0.239  0.241  0.981 [8 per cell]
Li  0.500  0.500  0.406 [2 per cell]
Si  0.000  0.000  0.253 [2 per cell]
P  0.000  0.500  0.465 [2 per cell]
P  0.500  0.500  0.150 [2 per cell]
Se  0.000  0.204  0.151 [4 per cell]
Se  0.000  0.208  0.854 [4 per cell]
Se  0.000  0.303  0.563 [4 per cell]
Se  0.201  0.500  0.366 [4 per cell]
Se  0.294  0.500  0.057 [4 per cell]
Se  0.300  0.500  0.745 [4 per cell]

Calculated values
Raw formation energy in eV/atom: -0.83

***

Record 17
This record from Alexandria via LeMat-Bulk describes Li10SnP2Se12 after structural relaxation. The functional is GGA-PBEsol.

Unit cell a=9.157 b=9.157 c=13.181 alpha=90.00 beta=90.00 gamma=90.00
Space group P4_2mc (No. 105)
Unique sites:
Li  0.000  0.000  0.000 [2 per cell]
Li  0.212  0.275  0.327 [8 per cell]
Li  0.258  0.266  0.073 [8 per cell]
Li  0.500  0.500  0.090 [2 per cell]
Sn  0.500  0.500  0.345 [2 per cell]
P  0.000  0.000  0.246 [2 per cell]
P  0.000  0.500  0.557 [2 per cell]
Se  0.000  0.199  0.840 [4 per cell]
Se  0.000  0.204  0.153 [4 per cell]
Se  0.000  0.298  0.461 [4 per cell]
Se  0.197  0.500  0.652 [4 per cell]
Se  0.271  0.500  0.953 [4 per cell]
Se  0.278  0.500  0.231 [4 per cell]

Calculated values
Offset from the most stable computed form in eV/atom: 0.012
Raw formation energy in eV/atom: -0.80

***

Record 18
This record from Alexandria via LeMat-Bulk describes Li10SnP2Se12 after structural relaxation. The functional is GGA-PBEsol.

Unit cell a=8.765 b=9.412 c=13.459 alpha=93.09 beta=90.35 gamma=90.05
Space group P1 (No. 1)
Unique sites:
Li  0.000  0.000  0.000 [1 per cell]
Li  0.000  0.493  0.325 [1 per cell]
Li  0.024  0.987  0.268 [1 per cell]
Li  0.201  0.306  0.066 [1 per cell]
Li  0.227  0.299  0.596 [1 per cell]
Li  0.455  0.596  0.409 [1 per cell]
Li  0.466  0.004  0.005 [1 per cell]
Li  0.474  0.982  0.272 [1 per cell]
Li  0.477  0.052  0.548 [1 per cell]
Li  0.482  0.489  0.117 [1 per cell]
Li  0.483  0.536  0.891 [1 per cell]
Li  0.484  0.553  0.656 [1 per cell]
Li  0.510  0.070  0.793 [1 per cell]
Li  0.694  0.291  0.386 [1 per cell]
Li  0.737  0.767  0.701 [1 per cell]
Li  0.742  0.737  0.183 [1 per cell]
Li  0.969  0.053  0.511 [1 per cell]
Li  0.972  0.043  0.773 [1 per cell]
Li  0.986  0.550  0.653 [1 per cell]
Li  0.988  0.529  0.911 [1 per cell]
Sn  0.233  0.267  0.827 [1 per cell]
Sn  0.753  0.776  0.461 [1 per cell]
P  0.233  0.737  0.146 [1 per cell]
P  0.252  0.255  0.323 [1 per cell]
P  0.729  0.794  0.953 [1 per cell]
P  0.731  0.310  0.629 [1 per cell]
Se  0.028  0.715  0.237 [1 per cell]
Se  0.048  0.261  0.225 [1 per cell]
Se  0.227  0.441  0.431 [1 per cell]
Se  0.234  0.962  0.104 [1 per cell]
Se  0.235  0.507  0.750 [1 per cell]
Se  0.244  0.573  0.021 [1 per cell]
Se  0.246  0.064  0.695 [1 per cell]
Se  0.247  0.053  0.402 [1 per cell]
Se  0.444  0.704  0.236 [1 per cell]
Se  0.463  0.256  0.942 [1 per cell]
Se  0.466  0.261  0.236 [1 per cell]
Se  0.506  0.777  0.560 [1 per cell]
Se  0.520  0.336  0.538 [1 per cell]
Se  0.525  0.815  0.856 [1 per cell]
Se  0.726  0.565  0.336 [1 per cell]
Se  0.729  0.087  0.675 [1 per cell]
Se  0.730  0.578  0.011 [1 per cell]
Se  0.733  0.962  0.075 [1 per cell]
Se  0.735  0.481  0.750 [1 per cell]
Se  0.753  0.000  0.362 [1 per cell]
Se  0.934  0.336  0.532 [1 per cell]
Se  0.939  0.802  0.861 [1 per cell]
Se  0.979  0.790  0.578 [1 per cell]
Se  0.991  0.243  0.924 [1 per cell]

Calculated values
Offset from the most stable computed form in eV/atom: 0.000
Raw formation energy in eV/atom: -0.82

***

Record 19
This record from Alexandria via LeMat-Bulk describes Li2SiP after structural relaxation. The functional is GGA-PBEsol.

Unit cell a=3.656 b=3.656 c=3.963 alpha=90.00 beta=90.00 gamma=90.00
Space group P4/mmm (No. 123)
Unique sites:
Li  0.000  0.500  0.000 [2 per cell]
Si  0.000  0.000  0.500 [1 per cell]
P  0.500  0.500  0.500 [1 per cell]

Calculated values
Offset from the most stable computed form in eV/atom: 0.000
Raw formation energy in eV/atom: -0.33

***

Record 20
This record from Alexandria via LeMat-Bulk describes Li4SiP4 after structural relaxation. The functional is GGA-PBEsol.

Unit cell a=5.354 b=6.937 c=8.607 alpha=86.69 beta=84.83 gamma=72.10
Space group P-1 (No. 2)
Unique sites:
Li  0.088  0.194  0.007 [2 per cell]
Li  0.108  0.243  0.588 [2 per cell]
Li  0.297  0.835  0.521 [2 per cell]
Li  0.398  0.728  0.195 [2 per cell]
Si  0.394  0.297  0.236 [2 per cell]
P  0.151  0.078  0.307 [2 per cell]
P  0.209  0.951  0.792 [2 per cell]
P  0.297  0.485  0.016 [2 per cell]
P  0.316  0.483  0.457 [2 per cell]

Calculated values
Raw formation energy in eV/atom: -0.43

***

Record 21
This record from Alexandria via LeMat-Bulk describes LiSiP2 after structural relaxation. The functional is GGA-PBEsol.

Unit cell a=5.045 b=6.636 c=3.280 alpha=90.00 beta=90.00 gamma=90.00
Space group Cmmm (No. 65)
Unique sites:
Li  0.000  0.000  0.000 [2 per cell]
Si  0.000  0.500  0.000 [2 per cell]
P  0.250  0.250  0.500 [4 per cell]

Calculated values
Raw formation energy in eV/atom: 0.03

***

Number 1: calculated density 3151 kg/m3, total moment 0.0 μB/cell, VASP energy -74.90 eV/cell. Number 2: calculated density 3934 kg/m3, total moment 0.0 μB/cell, VASP energy -15.70 eV/cell. Number 3: calculated density 4063 kg/m3, total moment 0.0 μB/cell, VASP energy -15.71 eV/cell. Number 4: calculated density 3870 kg/m3, total moment 0.0 μB/cell, VASP energy -14.56 eV/cell. Number 5: calculated density 4647 kg/m3, total moment 0.0 μB/cell, VASP energy -24.68 eV/cell. Number 6: calculated density 2190 kg/m3, total moment 1.3 μB/cell, VASP energy -36.43 eV/cell. Number 7: calculated density 2779 kg/m3, total moment 0.0 μB/cell, VASP energy -127.60 eV/cell. Number 8: calculated density 2237 kg/m3, total moment 0.0 μB/cell, VASP energy -16.71 eV/cell. Number 9: calculated density 2198 kg/m3, total moment 0.0 μB/cell, VASP energy -17.51 eV/cell. Number 10: calculated density 3027 kg/m3, total moment 0.0 μB/cell, VASP energy -62.03 eV/cell. Number 11: calculated density 2222 kg/m3, total moment 0.0 μB/cell, VASP energy -22.07 eV/cell. Number 12: calculated density 3609 kg/m3, total moment 0.0 μB/cell, VASP energy -17.92 eV/cell. Number 13: calculated density 2941 kg/m3, total moment 0.0 μB/cell, VASP energy -14.33 eV/cell. Number 14: calculated density 2288 kg/m3, total moment 0.0 μB/cell, VASP energy -16.91 eV/cell. Number 15: calculated density 3378 kg/m3, total moment 0.0 μB/cell, VASP energy -31.36 eV/cell. Number 16: calculated density 3406 kg/m3, total moment 0.0 μB/cell, VASP energy -207.92 eV/cell. Number 17: calculated density 3598 kg/m3, total moment 0.0 μB/cell, VASP energy -203.62 eV/cell. Number 18: calculated density 3588 kg/m3, total moment 0.0 μB/cell, VASP energy -204.21 eV/cell. Number 19: calculated density 2287 kg/m3, total moment 0.0 μB/cell, VASP energy -16.78 eV/cell. Number 20: calculated density 1971 kg/m3, total moment 0.0 μB/cell, VASP energy -81.32 eV/cell. Number 21: calculated density 2933 kg/m3, total moment 0.0 μB/cell, VASP energy -38.35 eV/cell.